[1]
# PmAs2Rh3

A relaxed PmAs2Rh3 crystal (GGA-PBE, Alexandria via LeMat-Bulk).

a b c (Å): 4.019 8.468 9.948
angles (deg): 107.12 90.00 103.73
Sites, in units of the cell vectors:
Pm  0.156  0.312  0.697
Pm  0.844  0.688  0.303
Pm  0.000  0.000  0.000
As  0.196  0.392  0.130
As  0.804  0.608  0.870
As  0.461  0.922  0.220
As  0.539  0.078  0.780
As  0.362  0.724  0.546
As  0.638  0.276  0.454
Rh  0.042  0.085  0.329
Rh  0.958  0.915  0.671
Rh  0.219  0.439  0.393
Rh  0.781  0.561  0.607
Rh  0.624  0.248  0.205
Rh  0.376  0.752  0.795
Rh  0.500  0.000  0.500
Rh  0.321  0.642  0.041
Rh  0.679  0.358  0.959

Summary:
Its density of states at the Fermi level is 0.483 states/eV per atom. The calculation puts the calculated volume at 17.41 A^3/atom. Its energy of formation is -0.867 eV per atom. The size of the total moment comes out at 0.000 μB/f.u.

[2]
# PmAs3Rh5

A relaxed PmAs3Rh5 crystal (GGA-PBE, Alexandria via LeMat-Bulk).

a b c (Å): 3.979 6.605 12.558
angles (deg): 90.00 90.00 107.53
Sites, in units of the cell vectors:
Pm  0.851  0.703  0.750
Pm  0.149  0.297  0.250
As  0.386  0.771  0.954
As  0.888  0.776  0.250
As  0.386  0.771  0.546
As  0.614  0.229  0.454
As  0.112  0.224  0.750
As  0.614  0.229  0.046
Rh  0.796  0.592  0.424
Rh  0.204  0.408  0.924
Rh  0.000  0.000  0.500
Rh  0.000  0.000  0.000
Rh  0.443  0.885  0.141
Rh  0.557  0.115  0.859
Rh  0.557  0.115  0.641
Rh  0.796  0.592  0.076
Rh  0.204  0.408  0.576
Rh  0.443  0.885  0.359

Summary:
Its density of states at the Fermi level is 0.568 states/eV per atom. The calculation puts the calculated volume at 17.48 A^3/atom. Its energy of formation is -0.616 eV per atom. The size of the total moment comes out at 0.000 μB/f.u.

[3]
# Pm4AsRh2

A relaxed Pm4AsRh2 crystal (GGA-PBE, Alexandria via LeMat-Bulk).

a b c (Å): 8.264 7.371 7.783
angles (deg): 107.93 112.53 108.21
Sites, in units of the cell vectors:
Pm  0.939  0.239  0.377
Pm  0.363  0.452  0.256
Pm  0.910  0.683  0.657
Pm  0.830  0.190  0.764
Pm  0.356  0.946  0.244
Pm  0.316  0.175  0.736
Pm  0.503  0.776  0.843
Pm  0.812  0.612  0.123
As  0.189  0.701  0.453
As  0.985  0.998  0.047
Rh  0.571  0.379  0.617
Rh  0.682  0.840  0.344
Rh  0.588  0.246  0.156
Rh  0.205  0.513  0.884

Summary:
Its density of states at the Fermi level is 0.689 states/eV per atom. The calculation puts the calculated volume at 25.95 A^3/atom. Its energy of formation is -0.793 eV per atom. The size of the total moment comes out at 0.000 μB/f.u.

[4]
# PmAs2Rh

A relaxed PmAs2Rh crystal (GGA-PBE, Alexandria via LeMat-Bulk).

a b c (Å): 4.796 4.796 4.796
angles (deg): 60.00 60.00 60.00
Sites, in units of the cell vectors:
As  0.250  0.250  0.250
As  0.750  0.750  0.750
Rh  0.500  0.500  0.500
Pm  0.000  0.000  0.000

Summary:
Its density of states at the Fermi level is 1.219 states/eV per atom. The calculation puts the calculated volume at 19.50 A^3/atom. Its energy of formation is -0.515 eV per atom. The size of the total moment comes out at 0.001 μB/f.u.

What is the formula in the second record?
PmAs3Rh5